Record 1
Crystalline La3Sm2Mg3 at its relaxed geometry, computed with PBE-GGA.

The structure in POSCAR format:
```
La3Sm2Mg3
1.0
-1.9493 2.8342 11.5434
1.9493 -2.8342 11.5434
1.9493 2.8342 -11.5434
La Sm Mg
3 2 3
direct
0.0000 0.0000 0.0000
0.3755 0.8755 0.5000
0.6245 0.1245 0.5000
0.2357 0.2357 0.0000
0.7643 0.7643 0.0000
0.1197 0.6197 0.5000
0.5000 0.5000 0.0000
0.8803 0.3803 0.5000
```

Properties
Crystal system: orthorhombic
DFT formation energy, eV/atom: -0.0768


Record 2
Crystalline PrTl6S8 at its relaxed geometry, computed with PBE-GGA.

The structure in POSCAR format:
```
PrTl6S8
1.0
5.8411 3.3723 3.3476
-5.8411 3.3723 3.3476
0.0000 -6.7447 3.3476
Pr Tl S
1 6 8
direct
0.0000 0.0000 0.0000
0.1044 0.3065 0.5700
0.3065 0.5700 0.1044
0.4300 0.8956 0.6935
0.5700 0.1044 0.3065
0.6935 0.4300 0.8956
0.8956 0.6935 0.4300
0.1391 0.6842 0.7969
0.2031 0.8609 0.3158
0.3099 0.3099 0.3099
0.3158 0.2031 0.8609
0.6842 0.7969 0.1391
0.6901 0.6901 0.6901
0.7969 0.1391 0.6842
0.8609 0.3158 0.2031
```

Properties
Total energy, eV per cell: -57.234
Crystal system: trigonal


Asked for size of the total moment across the records above, the calculation gives 0.0 0.0 Bohr magnetons per cell in order.